No. 1
! CeGe12Pt4 | Alexandria via LeMat-Bulk | SCAN | single point on PBEsol structure; values from VASP
&SYSTEM
  ibrav = 0, nat = 17, ntyp = 3
/
ATOMIC_SPECIES
Ce 140.12 Ce.upf
Ge 72.64 Ge.upf
Pt 195.08 Pt.upf
ATOMIC_POSITIONS crystal
Ce 0.000 0.000 0.000
Ge 0.150 0.353 0.503
Ge 0.150 0.647 0.797
Ge 0.203 0.850 0.353
Ge 0.353 0.203 0.850
Ge 0.353 0.503 0.150
Ge 0.497 0.850 0.647
Ge 0.503 0.150 0.353
Ge 0.647 0.497 0.850
Ge 0.647 0.797 0.150
Ge 0.797 0.150 0.647
Ge 0.850 0.353 0.203
Ge 0.850 0.647 0.497
Pt 0.000 0.000 0.500
Pt 0.000 0.500 0.000
Pt 0.500 0.000 0.000
Pt 0.500 0.500 0.500
CELL_PARAMETERS angstrom
-4.291 4.291 4.291
4.291 -4.291 4.291
4.291 4.291 -4.291
! Energy of formation ... -518 meV/atom
! Symmetry ... No. 204

***

No. 2
! CeYGe4Pt4 | Alexandria via LeMat-Bulk | SCAN | single point on PBEsol structure; values from VASP
&SYSTEM
  ibrav = 0, nat = 10, ntyp = 4
/
ATOMIC_SPECIES
Ce 140.12 Ce.upf
Y 88.91 Y.upf
Ge 72.64 Ge.upf
Pt 195.08 Pt.upf
ATOMIC_POSITIONS crystal
Ce 0.000 0.000 0.000
Y 0.500 0.500 0.501
Ge 0.000 0.000 0.613
Ge 0.000 0.500 0.248
Ge 0.500 0.000 0.248
Ge 0.500 0.500 0.879
Pt 0.000 0.000 0.373
Pt 0.000 0.500 0.747
Pt 0.500 0.000 0.747
Pt 0.500 0.500 0.120
CELL_PARAMETERS angstrom
4.269 0.000 0.000
0.000 4.269 0.000
0.000 0.000 10.025
! Energy of formation ... -1105 meV/atom
! Symmetry ... No. 99

***

No. 3
! Ce2Ge5Rh3 | Alexandria via LeMat-Bulk | SCAN | single point on PBEsol structure; values from VASP
&SYSTEM
  ibrav = 0, nat = 20, ntyp = 3
/
ATOMIC_SPECIES
Ce 140.12 Ce.upf
Ge 72.64 Ge.upf
Rh 102.91 Rh.upf
ATOMIC_POSITIONS crystal
Ce 0.135 0.230 0.365
Ce 0.365 0.730 0.095
Ce 0.635 0.270 0.905
Ce 0.865 0.770 0.635
Ge 0.028 0.750 0.278
Ge 0.099 0.660 0.760
Ge 0.250 0.250 0.000
Ge 0.401 0.160 0.561
Ge 0.472 0.750 0.722
Ge 0.528 0.250 0.278
Ge 0.599 0.840 0.439
Ge 0.750 0.750 0.000
Ge 0.901 0.340 0.240
Ge 0.972 0.250 0.722
Rh 0.141 0.892 0.033
Rh 0.250 0.750 0.500
Rh 0.359 0.392 0.751
Rh 0.641 0.608 0.249
Rh 0.750 0.250 0.500
Rh 0.859 0.108 0.967
CELL_PARAMETERS angstrom
-5.009 5.913 2.977
5.009 -5.913 2.977
5.009 5.913 -2.977
! Energy of formation ... -944 meV/atom
! Symmetry ... No. 72